10
Lattice="6.603 0.000 0.000 0.000 6.603 0.000 0.000 0.000 3.801" Properties=species:S:1:pos:R:3 comment="Y2GaB2 (GGA-PBE, optimized geometry)" dft_energy_ev_per_atom=-6.22 formation_energy_ev_per_fu=-1.81 space_group="P4/mbm, No. 127" de_polymorph_mev_per_atom=0 pbc="T T T"
Y 1.208 2.093 0.000
Y 2.093 5.395 0.000
Y 4.510 1.208 0.000
Y 5.395 4.510 0.000
Ga 0.000 0.000 1.900
Ga 3.302 3.302 1.900
B 0.594 3.895 1.900
B 2.708 0.594 1.900
B 3.895 6.009 1.900
B 6.009 2.708 1.900